Below is a relaxed Na3MoF8 crystal, with properties calculated at the PBE+U level.

Values from the calculation:
final energy: -0.3455 Ry per atom
V: 12.66 A^3/atom
DOS(E_F): 5.943 states/eV per cell

```
data_Na3MoF8
_chemical_formula_sum 'Na3 Mo1 F8'
_cell_length_a 5.336
_cell_length_b 5.336
_cell_length_c 5.336
_cell_angle_alpha 90.00
_cell_angle_beta 90.00
_cell_angle_gamma 90.00
_space_group_name_H-M_alt 'P m -3 m'
_space_group_IT_number 221
_space_group_name_Hall '-P 4 2 3'
loop_
_atom_site_label
_atom_site_type_symbol
_atom_site_fract_x
_atom_site_fract_y
_atom_site_fract_z
_atom_site_occupancy
Na1 Na 0.000 0.000 0.500 1
Mo1 Mo 0.500 0.500 0.500 1
F1 F 0.277 0.277 0.277 1
```